#w
DFT (PBE) results for an optimized crystal structure of Tc2AuCl2.

Geometry as CIF:
```
data_Tc2AuCl2
_chemical_formula_sum 'Tc4 Au2 Cl4'
_symmetry_space_group_name_H-M 'P 4/m b m'
_symmetry_Int_Tables_number 127
_symmetry_space_group_name_Hall '-P 4 2ab'
_cell_length_a 7.796
_cell_length_b 7.796
_cell_length_c 2.770
_cell_angle_alpha 90.00
_cell_angle_beta 90.00
_cell_angle_gamma 90.00
loop_
_atom_site_label
_atom_site_fract_x
_atom_site_fract_y
_atom_site_fract_z
Tc1 0.201 0.299 0.000
Au1 0.000 0.000 0.500
Cl1 0.127 0.627 0.500
```



#x
DFT (PBE) results for an optimized crystal structure of Tc2AuCl2.

Geometry as CIF:
```
data_Tc2AuCl2
_chemical_formula_sum 'Tc4 Au2 Cl4'
_symmetry_space_group_name_H-M 'I 4/m m m'
_symmetry_Int_Tables_number 139
_symmetry_space_group_name_Hall '-I 4 2'
_cell_length_a 4.158
_cell_length_b 4.158
_cell_length_c 10.155
_cell_angle_alpha 90.00
_cell_angle_beta 90.00
_cell_angle_gamma 90.00
loop_
_atom_site_label
_atom_site_fract_x
_atom_site_fract_y
_atom_site_fract_z
Tc1 0.000 0.500 0.250
Au1 0.000 0.000 0.000
Cl1 0.000 0.000 0.362
```



Tell me which of them is the most stable. Sure, it is #x.